No. 1
PmZnCu2 | PBE | optimized geometry

Output
**Space-group type**: P4/mmm, No. 123
**Energy of formation from the pure elements**: -0.28 eV/f.u.
**V**: 70 Å³/cell
**Crystal system**: tetragonal
**Calculated total energy**: -14.50 eV/cell

Lattice parameters (Å, degrees): 3.2316 3.2316 6.7367 90.00 90.00 90.00
Last column: nearest neighbours and their distance in Å.
Positions (direct):
Zn1 0.5000 0.5000 0.0000  8 Cu 2.62
Cu1 0.0000 0.0000 0.8086  1 Cu 2.58, 4 Zn 2.62
Cu2 0.0000 0.0000 0.1914  1 Cu 2.58, 4 Zn 2.62
Pm1 0.5000 0.5000 0.5000  8 Cu 3.09, 4 Pm 3.23, 2 Zn 3.37



No. 2
Pm3Zn4Cu2 | PBE | optimized geometry

Output
**Space-group type**: C2/m, No. 12
**Energy of formation from the pure elements**: -2.54 eV/f.u.
**V**: 189 Å³/cell
**Crystal system**: monoclinic
**Calculated total energy**: -30.08 eV/cell
**Excess energy over the best structure of this formula in the dataset**: 17.4 meV/atom

Lattice parameters (Å, degrees): 4.5290 5.4230 8.7055 102.62 90.00 114.68
Last column: nearest neighbours and their distance in Å.
Positions (direct):
Pm1 0.6259 0.2518 0.6964  3 Cu 2.90-3.07, 6 Zn 3.11-3.19
Pm2 0.0000 0.0000 0.0000  6 Zn 3.01-3.07
Pm3 0.3741 0.7482 0.3036  3 Cu 2.90-3.07, 6 Zn 3.11-3.19
Zn1 0.7157 0.4315 0.0696  1 Cu 2.47, 2 Zn 2.73
Zn2 0.2843 0.5685 0.9304  1 Cu 2.47, 2 Zn 2.73
Zn3 0.8986 0.7972 0.5769  3 Cu 2.54-2.65, 1 Zn 2.66
Zn4 0.1014 0.2028 0.4231  3 Cu 2.54-2.65, 1 Zn 2.66
Cu1 0.6739 0.3477 0.3382  4 Zn 2.47-2.65
Cu2 0.3261 0.6523 0.6618  4 Zn 2.47-2.65



No. 3
PmZn12Cu4 | PBE | optimized geometry

Output
**Space-group type**: Im-3, No. 204
**Energy of formation from the pure elements**: 2.55 eV/f.u.
**V**: 311 Å³/cell
**Crystal system**: cubic
**Calculated total energy**: -33.87 eV/cell

Lattice parameters (Å, degrees): 7.3894 7.3894 7.3894 109.47 109.47 109.47
Last column: nearest neighbours and their distance in Å.
Positions (direct):
Pm1 0.0000 0.0000 0.0000  12 Zn 3.29
Zn1 0.8412 0.3514 0.1927  2 Cu 2.43, 2 Zn 2.54-2.71
Zn2 0.3514 0.5102 0.1588  2 Cu 2.43, 2 Zn 2.54-2.71
Zn3 0.8073 0.1588 0.6486  2 Cu 2.43, 2 Zn 2.54-2.71
Zn4 0.3514 0.1927 0.8412  2 Cu 2.43, 2 Zn 2.54-2.71
Zn5 0.1927 0.8412 0.3514  2 Cu 2.43, 2 Zn 2.54-2.71
Zn6 0.6486 0.4898 0.8412  2 Cu 2.43, 2 Zn 2.54-2.71
Zn7 0.5102 0.1588 0.3514  2 Cu 2.43, 2 Zn 2.54-2.71
Zn8 0.4898 0.8412 0.6486  2 Cu 2.43, 2 Zn 2.54-2.71
Zn9 0.6486 0.8073 0.1588  2 Cu 2.43, 2 Zn 2.54-2.71
Zn10 0.8412 0.6486 0.4898  2 Cu 2.43, 2 Zn 2.54-2.71
Zn11 0.1588 0.3514 0.5102  2 Cu 2.43, 2 Zn 2.54-2.71
Zn12 0.1588 0.6486 0.8073  2 Cu 2.43, 2 Zn 2.54-2.71
Cu1 0.0000 0.5000 0.0000  6 Zn 2.43
Cu2 0.5000 0.0000 0.0000  6 Zn 2.43
Cu3 0.5000 0.5000 0.5000  6 Zn 2.43
Cu4 0.0000 0.0000 0.5000  6 Zn 2.43



No. 4
PmZn3Cu2 | PBE | optimized geometry

Output
**Space-group type**: P6/mmm, No. 191
**Energy of formation from the pure elements**: -1.58 eV/f.u.
**V**: 305 Å³/cell
**Crystal system**: hexagonal
**Calculated total energy**: -55.03 eV/cell
**Excess energy over the best structure of this formula in the dataset**: 0.0 meV/atom

Lattice parameters (Å, degrees): 4.0766 9.2940 9.2940 120.00 90.00 90.00
Last column: nearest neighbours and their distance in Å.
Positions (direct):
Pm1 0.5000 0.0000 0.0000  6 Cu 3.04
Pm2 0.0000 0.6667 0.3333  6 Cu 3.09, 12 Zn 3.29-3.37
Pm3 0.0000 0.3333 0.6667  6 Cu 3.09, 12 Zn 3.29-3.37
Zn1 0.5000 0.5000 0.5000  4 Cu 2.52, 4 Zn 2.79
Zn2 0.5000 0.0000 0.5000  4 Cu 2.52, 4 Zn 2.79
Zn3 0.5000 0.5000 0.0000  4 Cu 2.52, 4 Zn 2.79
Zn4 0.0000 0.7044 0.7044  4 Cu 2.55, 4 Zn 2.75-2.79
Zn5 0.0000 0.0000 0.2956  4 Cu 2.55, 4 Zn 2.75-2.79
Zn6 0.0000 0.2956 0.0000  4 Cu 2.55, 4 Zn 2.75-2.79
Zn7 0.0000 0.2956 0.2956  4 Cu 2.55, 4 Zn 2.75-2.79
Zn8 0.0000 0.0000 0.7044  4 Cu 2.55, 4 Zn 2.75-2.79
Zn9 0.0000 0.7044 0.0000  4 Cu 2.55, 4 Zn 2.75-2.79
Cu1 0.5000 0.8112 0.1888  6 Zn 2.52-2.55
Cu2 0.5000 0.3776 0.1888  6 Zn 2.52-2.55
Cu3 0.5000 0.8112 0.6224  6 Zn 2.52-2.55
Cu4 0.5000 0.1888 0.8112  6 Zn 2.52-2.55
Cu5 0.5000 0.6224 0.8112  6 Zn 2.52-2.55
Cu6 0.5000 0.1888 0.3776  6 Zn 2.52-2.55



No. 5
Pm2ZnCu7 | PBE | optimized geometry

Output
**Space-group type**: P-4m2, No. 115
**Energy of formation from the pure elements**: -1.42 eV/f.u.
**V**: 170 Å³/cell
**Crystal system**: tetragonal
**Calculated total energy**: -40.87 eV/cell

Lattice parameters (Å, degrees): 4.0879 4.0879 10.1749 90.00 90.00 90.00
Last column: nearest neighbours and their distance in Å.
Positions (direct):
Pm1 0.5000 0.0000 0.7440  14 Cu 3.11-3.31, 2 Zn 3.31
Pm2 0.0000 0.5000 0.2560  14 Cu 3.11-3.31, 2 Zn 3.31
Zn1 0.5000 0.5000 0.0000  4 Cu 2.46
Cu1 0.0000 0.5000 0.8646  3 Cu 2.38-2.46, 2 Zn 2.46
Cu2 0.5000 0.0000 0.3696  5 Cu 2.38-2.44
Cu3 0.5000 0.0000 0.1354  3 Cu 2.38-2.46, 2 Zn 2.46
Cu4 0.0000 0.5000 0.6304  5 Cu 2.38-2.44
Cu5 0.0000 0.0000 0.5000  4 Cu 2.44
Cu6 0.0000 0.0000 0.0000  4 Cu 2.46
Cu7 0.5000 0.5000 0.5000  4 Cu 2.44



No. 6
PmZn2Cu | PBE | optimized geometry

Output
**Space-group type**: Cmcm, No. 63
**Energy of formation from the pure elements**: -1.23 eV/f.u.
**V**: 148 Å³/cell
**Crystal system**: orthorhombic
**Calculated total energy**: -25.24 eV/cell
**Excess energy over the best structure of this formula in the dataset**: 0.0 meV/atom

Lattice parameters (Å, degrees): 4.3122 5.3247 7.0700 90.00 90.00 113.89
Last column: nearest neighbours and their distance in Å.
Positions (direct):
Pm1 0.9243 0.8486 0.2500  3 Cu 2.84-2.96, 6 Zn 3.10-3.13
Pm2 0.0757 0.1514 0.7500  3 Cu 2.84-2.96, 6 Zn 3.10-3.13
Zn1 0.3622 0.7244 0.9412  3 Cu 2.60-2.66, 2 Zn 2.70-2.81
Zn2 0.6378 0.2756 0.0588  3 Cu 2.60-2.66, 2 Zn 2.70-2.81
Zn3 0.6378 0.2756 0.4412  3 Cu 2.60-2.66, 2 Zn 2.70-2.81
Zn4 0.3622 0.7244 0.5588  3 Cu 2.60-2.66, 2 Zn 2.70-2.81
Cu1 0.2165 0.4329 0.2500  6 Zn 2.60-2.66, 1 Pm 2.84
Cu2 0.7835 0.5671 0.7500  6 Zn 2.60-2.66, 1 Pm 2.84



No. 7
Pm2ZnCu2 | PBE | optimized geometry

Output
**Space-group type**: P4/mnc, No. 128
**Energy of formation from the pure elements**: -1.10 eV/f.u.
**V**: 433 Å³/cell
**Crystal system**: tetragonal
**Calculated total energy**: -80.28 eV/cell
**Excess energy over the best structure of this formula in the dataset**: 14.9 meV/atom

Lattice parameters (Å, degrees): 7.4591 7.4591 7.7914 90.00 90.00 90.00
Last column: nearest neighbours and their distance in Å.
Positions (direct):
Pm1 0.6786 0.8213 0.5000  6 Cu 2.88-2.99
Pm2 0.3214 0.1787 0.5000  6 Cu 2.88-2.99
Pm3 0.8214 0.3213 0.0000  6 Cu 2.88-2.99
Pm4 0.1786 0.6787 0.0000  6 Cu 2.88-2.99
Pm5 0.8213 0.3214 0.5000  6 Cu 2.88-2.99
Pm6 0.1787 0.6786 0.5000  6 Cu 2.88-2.99
Pm7 0.3213 0.1786 0.0000  6 Cu 2.88-2.99
Pm8 0.6787 0.8214 0.0000  6 Cu 2.88-2.99
Zn1 0.5000 0.5000 0.2495  4 Cu 2.97
Zn2 0.0000 0.0000 0.7495  4 Cu 2.97
Zn3 0.5000 0.5000 0.7505  4 Cu 2.97
Zn4 0.0000 0.0000 0.2505  4 Cu 2.97
Cu1 0.3804 0.8804 0.2500  1 Cu 2.52
Cu2 0.6196 0.1196 0.2500  1 Cu 2.52
Cu3 0.1196 0.3804 0.7500  1 Cu 2.52
Cu4 0.8804 0.6196 0.7500  1 Cu 2.52
Cu5 0.8804 0.6196 0.2500  1 Cu 2.52
Cu6 0.1196 0.3804 0.2500  1 Cu 2.52
Cu7 0.3804 0.8804 0.7500  1 Cu 2.52
Cu8 0.6196 0.1196 0.7500  1 Cu 2.52



No. 8
Pm3Zn9Cu2 | PBE | optimized geometry

Output
**Space-group type**: Immm, No. 71
**Energy of formation from the pure elements**: -4.19 eV/f.u.
**V**: 256 Å³/cell
**Crystal system**: orthorhombic
**Calculated total energy**: -38.10 eV/cell

Lattice parameters (Å, degrees): 4.4085 8.1985 8.1985 65.93 74.40 74.40
Last column: nearest neighbours and their distance in Å.
Positions (direct):
Pm1 0.0000 0.0000 0.0000  12 Zn 3.06-3.28
Pm2 0.6992 0.3008 0.3008  14 Zn 3.06-3.41, 2 Cu 3.09
Pm3 0.3008 0.6992 0.6992  14 Zn 3.06-3.41, 2 Cu 3.09
Zn1 0.0000 0.5000 0.5000  4 Zn 2.58, 4 Cu 2.77
Zn2 0.6593 0.9831 0.6984  4 Zn 2.54-2.80, 1 Cu 2.57
Zn3 0.3407 0.0169 0.3016  4 Zn 2.54-2.80, 1 Cu 2.57
Zn4 0.6593 0.6984 0.9831  4 Zn 2.54-2.80, 1 Cu 2.57
Zn5 0.3407 0.3016 0.0169  4 Zn 2.54-2.80, 1 Cu 2.57
Zn6 0.8683 0.8481 0.4153  4 Zn 2.56-2.80, 2 Cu 2.80
Zn7 0.1317 0.1519 0.5847  4 Zn 2.56-2.80, 2 Cu 2.80
Zn8 0.8683 0.4153 0.8481  4 Zn 2.56-2.80, 2 Cu 2.80
Zn9 0.1317 0.5847 0.1519  4 Zn 2.56-2.80, 2 Cu 2.80
Cu1 0.5000 0.3117 0.6883  8 Zn 2.57-2.80
Cu2 0.5000 0.6883 0.3117  8 Zn 2.57-2.80



No. 9
PmZnCu5 | PBE | optimized geometry

Output
**Space-group type**: Pnma, No. 62
**Energy of formation from the pure elements**: -1.33 eV/f.u.
**V**: 424 Å³/cell
**Crystal system**: orthorhombic
**Calculated total energy**: -111.36 eV/cell

Lattice parameters (Å, degrees): 5.0850 8.1390 10.2539 90.00 90.00 90.00
Last column: nearest neighbours and their distance in Å.
Positions (direct):
Pm1 0.2500 0.2408 0.9382  11 Cu 2.92-3.21, 2 Zn 3.19-3.23
Pm2 0.7500 0.2592 0.4382  11 Cu 2.92-3.21, 2 Zn 3.19-3.23
Pm3 0.2500 0.7408 0.5618  11 Cu 2.92-3.21, 2 Zn 3.19-3.23
Pm4 0.7500 0.7592 0.0618  11 Cu 2.92-3.21, 2 Zn 3.19-3.23
Zn1 0.2500 0.8564 0.8595  8 Cu 2.54-2.79
Zn2 0.7500 0.6436 0.3595  8 Cu 2.54-2.79
Zn3 0.2500 0.3564 0.6405  8 Cu 2.54-2.79
Zn4 0.7500 0.1436 0.1405  8 Cu 2.54-2.79
Cu1 0.2500 0.5935 0.0160  5 Cu 2.47-2.57, 1 Zn 2.67
Cu2 0.7500 0.9065 0.5160  5 Cu 2.47-2.57, 1 Zn 2.67
Cu3 0.2500 0.0935 0.4840  5 Cu 2.47-2.57, 1 Zn 2.67
Cu4 0.7500 0.4065 0.9840  5 Cu 2.47-2.57, 1 Zn 2.67
Cu5 0.7500 0.3178 0.7474  7 Cu 2.48-2.61
Cu6 0.2500 0.1822 0.2474  7 Cu 2.48-2.61
Cu7 0.7500 0.8178 0.7526  7 Cu 2.48-2.61
Cu8 0.2500 0.6822 0.2526  7 Cu 2.48-2.61
Cu9 0.2500 0.9370 0.0983  4 Cu 2.51-2.61, 1 Zn 2.54
Cu10 0.7500 0.5630 0.5983  4 Cu 2.51-2.61, 1 Zn 2.54
Cu11 0.2500 0.4370 0.4017  4 Cu 2.51-2.61, 1 Zn 2.54
Cu12 0.7500 0.0630 0.9017  4 Cu 2.51-2.61, 1 Zn 2.54
Cu13 0.9948 0.4341 0.1908  7 Cu 2.47-2.60, 2 Zn 2.72-2.73
Cu14 0.0052 0.0659 0.6908  7 Cu 2.47-2.60, 2 Zn 2.72-2.73
Cu15 0.5052 0.9341 0.3092  7 Cu 2.47-2.60, 2 Zn 2.72-2.73
Cu16 0.4948 0.5659 0.8092  7 Cu 2.47-2.60, 2 Zn 2.72-2.73
Cu17 0.0052 0.5659 0.8092  7 Cu 2.47-2.60, 2 Zn 2.72-2.73
Cu18 0.9948 0.9341 0.3092  7 Cu 2.47-2.60, 2 Zn 2.72-2.73
Cu19 0.4948 0.0659 0.6908  7 Cu 2.47-2.60, 2 Zn 2.72-2.73
Cu20 0.5052 0.4341 0.1908  7 Cu 2.47-2.60, 2 Zn 2.72-2.73



No. 10
PmZnCu2 | PBE | optimized geometry

Output
**Space-group type**: Fm-3m, No. 225
**Energy of formation from the pure elements**: -0.66 eV/f.u.
**V**: 71 Å³/cell
**Crystal system**: cubic
**Calculated total energy**: -14.87 eV/cell

Lattice parameters (Å, degrees): 4.6568 4.6568 4.6568 59.99 59.99 59.99
Last column: nearest neighbours and their distance in Å.
Positions (direct):
Zn1 0.7500 0.7500 0.7500  8 Cu 2.85
Cu1 0.0000 0.0000 0.0000  4 Zn 2.85, 4 Pm 2.85
Cu2 0.5000 0.5000 0.5000  4 Zn 2.85, 4 Pm 2.85
Pm1 0.2500 0.2500 0.2500  8 Cu 2.85



No. 11
Pm3Zn2Cu4 | PBE | optimized geometry

Output
**Space-group type**: C2/m, No. 12
**Energy of formation from the pure elements**: -2.36 eV/f.u.
**V**: 180 Å³/cell
**Crystal system**: monoclinic
**Calculated total energy**: -35.55 eV/cell

Lattice parameters (Å, degrees): 4.3794 5.7055 8.4315 110.18 90.00 112.57
Last column: nearest neighbours and their distance in Å.
Positions (direct):
Pm1 0.6540 0.3081 0.6811  8 Cu 2.98-3.22, 4 Zn 3.08-3.14
Pm2 0.0000 0.0000 0.0000  8 Cu 3.12-3.21, 4 Zn 3.24
Pm3 0.3460 0.6919 0.3189  8 Cu 2.98-3.22, 4 Zn 3.08-3.14
Zn1 0.6348 0.2695 0.3000  3 Cu 2.54-2.55
Zn2 0.3652 0.7305 0.7000  3 Cu 2.54-2.55
Cu1 0.7241 0.4482 0.0578  2 Cu 2.54, 1 Zn 2.55
Cu2 0.2759 0.5518 0.9422  2 Cu 2.54, 1 Zn 2.55
Cu3 0.9267 0.8534 0.5941  2 Zn 2.54, 1 Cu 2.60
Cu4 0.0733 0.1466 0.4059  2 Zn 2.54, 1 Cu 2.60



No. 12
PmZn4Cu2 | PBE | optimized geometry

Output
**Space-group type**: I4/mmm, No. 139
**Energy of formation from the pure elements**: -1.52 eV/f.u.
**V**: 113 Å³/cell
**Crystal system**: tetragonal
**Calculated total energy**: -19.56 eV/cell

Lattice parameters (Å, degrees): 5.0831 5.3539 5.3539 76.98 61.66 61.66
Last column: nearest neighbours and their distance in Å.
Positions (direct):
Pm1 0.0000 0.0000 0.0000  12 Zn 2.89-3.12
Zn1 0.6929 0.0000 0.6142  4 Zn 2.57-2.76, 4 Cu 2.73
Zn2 0.3071 0.0000 0.3858  4 Zn 2.57-2.76, 4 Cu 2.73
Zn3 0.3071 0.3858 0.0000  4 Zn 2.57-2.76, 4 Cu 2.73
Zn4 0.6929 0.6142 0.0000  4 Zn 2.57-2.76, 4 Cu 2.73
Cu1 0.7500 0.5000 0.5000  2 Cu 2.54, 8 Zn 2.73
Cu2 0.2500 0.5000 0.5000  2 Cu 2.54, 8 Zn 2.73